# BaAgPb2 (PBE, relaxed)
data_BaAgPb2
_chemical_formula_sum 'Ba4 Ag4 Pb8'
_cell_length_a 5.0096
_cell_length_b 21.1937
_cell_length_c 4.9481
_cell_angle_alpha 90.00
_cell_angle_beta 90.00
_cell_angle_gamma 90.00
_space_group_name_H-M_alt 'C m c m'
_space_group_IT_number 63
_space_group_name_Hall '-C 2c 2'
loop_
_atom_site_label
_atom_site_fract_x
_atom_site_fract_y
_atom_site_fract_z
Ba1 0.0000 0.1067 0.2500
Ag1 0.0000 0.3269 0.2500
Pb1 0.0000 0.2492 0.7500
Pb2 0.0000 0.4598 0.2500
# VASP energy: -3.384 eV/atom